This record from Alexandria describes TbMgSc4S8 after structural relaxation. The functional is GGA-PBE.

a b c (Å): 7.714 7.714 7.714
angles (deg): 59.18 59.18 59.18
Fractional coordinates of all 14 atoms:
1 Tb 0.000 0.000 0.000
2 Mg 0.627 0.627 0.627
3 Sc 0.374 0.374 0.374
4 Sc 0.509 0.999 0.999
5 Sc 0.999 0.509 0.999
6 Sc 0.999 0.999 0.509
7 S 0.233 0.751 0.751
8 S 0.243 0.243 0.243
9 S 0.253 0.253 0.769
10 S 0.253 0.769 0.253
11 S 0.751 0.233 0.751
12 S 0.751 0.751 0.233
13 S 0.758 0.758 0.758
14 S 0.769 0.253 0.253

total magnetization	0.00	μB/cell
SG	R3m
crystal system	trigonal
formation energy without anion corrections	-1.819	eV/atom
total DFT energy (no corrections)	-90.0	eV/cell